The following is a GGA-PBEsol calculation of crystalline Ba3Sr4 at its relaxed geometry, from the Alexandria database.

## Properties
Formation energy in kJ/mol of atoms: 0.5
SG: I4/mmm
Total moment in Bohr magnetons per cell: 0.0

a b c (Å): 16.844 16.844 16.844
angles (deg): 163.65 163.65 23.20
Positions (direct):
Ba (0.000, 0.000, 0.000)
Ba (0.287, 0.287, 0.000)
Ba (0.713, 0.713, 0.000)
Sr (0.140, 0.140, 0.000)
Sr (0.428, 0.428, 0.000)
Sr (0.572, 0.572, 0.000)
Sr (0.860, 0.860, 0.000)

The following is a GGA-PBEsol calculation of crystalline Y2NiW at its relaxed geometry, from the Alexandria database.

## Properties
Formation energy in kJ/mol of atoms: 40.1
SG: Fm-3m
Total moment in Bohr magnetons per cell: 0.0

a b c (Å): 4.803 4.803 4.803
angles (deg): 60.00 60.00 60.00
Positions (direct):
Y (0.250, 0.250, 0.250)
Y (0.750, 0.750, 0.750)
Ni (0.000, 0.000, 0.000)
W (0.500, 0.500, 0.500)

The following is a GGA-PBEsol calculation of crystalline PtRh2 at its relaxed geometry, from the Alexandria database.

## Properties
Formation energy in kJ/mol of atoms: -1.7
SG: Immm
Total moment in Bohr magnetons per cell: 0.0

a b c (Å): 4.682 4.682 4.682
angles (deg): 146.45 131.88 59.93
Positions (direct):
Pt (0.000, 0.000, 0.000)
Rh (0.331, 0.331, 0.000)
Rh (0.669, 0.669, 0.000)

The following is a GGA-PBEsol calculation of crystalline KReSe2 at its relaxed geometry, from the Alexandria database.

## Properties
Energy relative to the elements, uncorrected in eV/atom: 0.55
SG: P4/mmm
Total moment in Bohr magnetons per cell: 1.7

a b c (Å): 4.950 4.950 3.106
angles (deg): 90.00 90.00 90.00
Positions (direct):
K (0.000, 0.000, 0.000)
Re (0.500, 0.500, 0.000)
Se (0.000, 0.500, 0.500)
Se (0.500, 0.000, 0.500)

The following is a GGA-PBEsol calculation of crystalline LaTaCl at its relaxed geometry, from the Alexandria database.

## Properties
Energy relative to the elements, uncorrected in eV/atom: -0.06
SG: Fmm2
Total moment in Bohr magnetons per cell: 0.0

a b c (Å): 7.755 7.494 3.111
angles (deg): 82.99 73.55 23.46
Positions (direct):
La (0.000, 0.000, 0.000)
Ta (0.319, 0.319, 0.681)
Cl (0.684, 0.684, 0.316)

The following is a GGA-PBEsol calculation of crystalline Rb3BaCo at its relaxed geometry, from the Alexandria database.

## Properties
Formation energy in kJ/mol of atoms: 81.2
SG: Pm-3m
Total moment in Bohr magnetons per cell: 1.1

a b c (Å): 6.689 6.689 6.689
angles (deg): 90.00 90.00 90.00
Positions (direct):
Rb (0.000, 0.000, 0.500)
Rb (0.000, 0.500, 0.000)
Rb (0.500, 0.000, 0.000)
Ba (0.500, 0.500, 0.500)
Co (0.000, 0.000, 0.000)

The following is a GGA-PBEsol calculation of crystalline CsYSn2 at its relaxed geometry, from the Alexandria database.

## Properties
Formation energy in kJ/mol of atoms: -2.8
SG: Fm-3m
Total moment in Bohr magnetons per cell: 0.0

a b c (Å): 5.638 5.638 5.638
angles (deg): 60.00 60.00 60.00
Positions (direct):
Cs (0.000, 0.000, 0.000)
Y (0.500, 0.500, 0.500)
Sn (0.250, 0.250, 0.250)
Sn (0.750, 0.750, 0.750)

The following is a GGA-PBEsol calculation of crystalline TiAs2SeBr at its relaxed geometry, from the Alexandria database.

## Properties
Energy relative to the elements, uncorrected in eV/atom: -0.03
SG: P4/mmm
Total moment in Bohr magnetons per cell: 0.0

a b c (Å): 4.925 4.925 4.721
angles (deg): 90.00 90.00 90.00
Positions (direct):
Ti (0.000, 0.000, 0.000)
As (0.000, 0.500, 0.000)
As (0.500, 0.000, 0.000)
Se (0.000, 0.000, 0.500)
Br (0.500, 0.500, 0.500)

The following is a GGA-PBEsol calculation of crystalline BaAlHg2 at its relaxed geometry, from the Alexandria database.

## Properties
Formation energy in kJ/mol of atoms: -34.0
SG: R-3m
Total moment in Bohr magnetons per cell: 0.0

a b c (Å): 6.592 6.592 6.592
angles (deg): 41.13 41.13 41.13
Positions (direct):
Ba (0.000, 0.000, 0.000)
Al (0.500, 0.500, 0.500)
Hg (0.214, 0.214, 0.214)
Hg (0.786, 0.786, 0.786)

The following is a GGA-PBEsol calculation of crystalline SiPbW2 at its relaxed geometry, from the Alexandria database.

## Properties
Energy relative to the elements, uncorrected in eV/atom: 0.92
SG: C2/m
Total moment in Bohr magnetons per cell: 0.0

a b c (Å): 5.228 5.228 2.959
angles (deg): 102.35 102.35 113.38
Positions (direct):
Si (0.000, 0.000, 0.000)
Pb (0.500, 0.500, 0.000)
W (0.000, 0.500, 0.500)
W (0.500, 0.000, 0.500)

The following is a GGA-PBEsol calculation of crystalline Al2Cu at its relaxed geometry, from the Alexandria database.

## Properties
Formation energy in kJ/mol of atoms: -9.5
SG: I4_1/amd
Total moment in Bohr magnetons per cell: 0.0

a b c (Å): 11.673 11.673 11.673
angles (deg): 166.36 166.36 19.34
Positions (direct):
Al (0.303, 0.553, 0.750)
Al (0.447, 0.697, 0.750)
Al (0.553, 0.303, 0.250)
Al (0.697, 0.447, 0.250)
Cu (0.125, 0.875, 0.250)
Cu (0.875, 0.125, 0.750)

The following is a GGA-PBEsol calculation of crystalline TaCdTe2 at its relaxed geometry, from the Alexandria database.

## Properties
Energy relative to the elements, uncorrected in eV/atom: -0.06
SG: P4/mmm
Total moment in Bohr magnetons per cell: 0.0

a b c (Å): 3.380 3.380 8.217
angles (deg): 90.00 90.00 90.00
Positions (direct):
Ta (0.000, 0.000, 0.000)
Cd (0.000, 0.000, 0.500)
Te (0.500, 0.500, 0.201)
Te (0.500, 0.500, 0.799)

The following is a GGA-PBEsol calculation of crystalline ThRh at its relaxed geometry, from the Alexandria database.

## Properties
Formation energy in kJ/mol of atoms: -86.1
SG: Cmcm
Total moment in Bohr magnetons per cell: 0.0

a b c (Å): 5.969 5.969 4.099
angles (deg): 90.00 90.00 142.15
Positions (direct):
Th (0.136, 0.864, 0.750)
Th (0.864, 0.136, 0.250)
Rh (0.402, 0.598, 0.750)
Rh (0.598, 0.402, 0.250)

The following is a GGA-PBEsol calculation of crystalline TiMnFeRu2 at its relaxed geometry, from the Alexandria database.

## Properties
Formation energy in kJ/mol of atoms: 95.4
SG: P4/mmm
Total moment in Bohr magnetons per cell: 2.8

a b c (Å): 4.303 4.303 4.214
angles (deg): 90.00 90.00 90.00
Positions (direct):
Ti (0.000, 0.000, 0.000)
Mn (0.500, 0.500, 0.000)
Fe (0.500, 0.500, 0.500)
Ru (0.000, 0.500, 0.500)
Ru (0.500, 0.000, 0.500)

The following is a GGA-PBEsol calculation of crystalline LiSbCSO7 at its relaxed geometry, from the Alexandria database.

## Properties
Energy relative to the elements, uncorrected in eV/atom: -1.48
SG: P2_1
Total moment in Bohr magnetons per cell: 0.0

a b c (Å): 5.181 6.605 9.245
angles (deg): 90.00 93.07 90.00
Positions (direct):
Li (0.218, 0.000, 0.321)
Li (0.782, 0.500, 0.679)
Sb (0.306, 0.738, 0.866)
Sb (0.694, 0.238, 0.134)
C (0.285, 0.754, 0.591)
C (0.715, 0.254, 0.409)
S (0.230, 0.267, 0.884)
S (0.770, 0.767, 0.116)
O (0.029, 0.839, 0.156)
O (0.081, 0.706, 0.667)
O (0.263, 0.250, 0.046)
O (0.279, 0.799, 0.463)
O (0.295, 0.073, 0.815)
O (0.428, 0.419, 0.836)
O (0.497, 0.252, 0.321)
O (0.503, 0.752, 0.679)
O (0.572, 0.919, 0.164)
O (0.705, 0.573, 0.185)
O (0.721, 0.299, 0.537)
O (0.737, 0.750, 0.954)
O (0.919, 0.206, 0.333)
O (0.971, 0.339, 0.844)

The following is a GGA-PBEsol calculation of crystalline TcNiRh at its relaxed geometry, from the Alexandria database.

## Properties
Formation energy in kJ/mol of atoms: -9.4
SG: Imm2
Total moment in Bohr magnetons per cell: 0.0

a b c (Å): 4.499 4.499 4.499
angles (deg): 145.83 131.88 60.33
Positions (direct):
Tc (0.000, 0.000, 0.000)
Ni (0.662, 0.662, 0.000)
Rh (0.331, 0.331, 0.000)

The following is a GGA-PBEsol calculation of crystalline Li3Ti2FeO6 at its relaxed geometry, from the Alexandria database.

## Properties
Energy relative to the elements, uncorrected in eV/atom: -2.39
SG: C2/m
Total moment in Bohr magnetons per cell: 3.0

a b c (Å): 6.595 6.595 5.904
angles (deg): 105.74 105.74 25.53
Positions (direct):
Li (0.000, 0.000, 0.000)
Li (0.337, 0.337, 0.675)
Li (0.663, 0.663, 0.325)
Ti (0.344, 0.344, 0.188)
Ti (0.656, 0.656, 0.812)
Fe (0.000, 0.000, 0.500)
O (0.172, 0.172, 0.057)
O (0.173, 0.173, 0.599)
O (0.498, 0.498, 0.245)
O (0.502, 0.502, 0.755)
O (0.827, 0.827, 0.401)
O (0.828, 0.828, 0.943)

The following is a GGA-PBEsol calculation of crystalline TaZnCr2 at its relaxed geometry, from the Alexandria database.

## Properties
Formation energy in kJ/mol of atoms: 29.6
SG: F-43m
Total moment in Bohr magnetons per cell: 1.1

a b c (Å): 4.250 4.250 4.250
angles (deg): 60.00 60.00 60.00
Positions (direct):
Ta (0.000, 0.000, 0.000)
Zn (0.750, 0.750, 0.750)
Cr (0.250, 0.250, 0.250)
Cr (0.500, 0.500, 0.500)

The following is a GGA-PBEsol calculation of crystalline CsPd2Se at its relaxed geometry, from the Alexandria database.

## Properties
Energy relative to the elements, uncorrected in eV/atom: -0.41
SG: I4_1/amd
Total moment in Bohr magnetons per cell: 0.0

a b c (Å): 8.746 8.746 8.746
angles (deg): 143.94 143.94 51.92
Positions (direct):
Cs (0.375, 0.625, 0.750)
Cs (0.625, 0.375, 0.250)
Pd (0.000, 0.000, 0.000)
Pd (0.000, 0.000, 0.500)
Pd (0.000, 0.500, 0.000)
Pd (0.500, 0.000, 0.500)
Se (0.125, 0.875, 0.250)
Se (0.875, 0.125, 0.750)

The following is a GGA-PBEsol calculation of crystalline BaCdFe at its relaxed geometry, from the Alexandria database.

## Properties
Formation energy in kJ/mol of atoms: 64.2
SG: F-43m
Total moment in Bohr magnetons per cell: 2.3

a b c (Å): 4.914 4.914 4.914
angles (deg): 60.00 60.00 60.00
Positions (direct):
Ba (0.000, 0.000, 0.000)
Cd (0.500, 0.500, 0.500)
Fe (0.250, 0.250, 0.250)

The following is a GGA-PBEsol calculation of crystalline TlS2I at its relaxed geometry, from the Alexandria database.

## Properties
Energy relative to the elements, uncorrected in eV/atom: 0.31
SG: I-42d
Total moment in Bohr magnetons per cell: 0.0

a b c (Å): 6.444 6.444 6.444
angles (deg): 109.84 109.84 108.74
Positions (direct):
Tl (0.000, 0.000, 0.000)
Tl (0.750, 0.250, 0.500)
S (0.104, 0.125, 0.479)
S (0.375, 0.896, 0.021)
S (0.646, 0.625, 0.521)
S (0.875, 0.354, 0.979)
I (0.250, 0.750, 0.500)
I (0.500, 0.500, 0.000)

The following is a GGA-PBEsol calculation of crystalline ScZnAg2 at its relaxed geometry, from the Alexandria database.

## Properties
Formation energy in kJ/mol of atoms: -19.0
SG: P4mm
Total moment in Bohr magnetons per cell: 0.0

a b c (Å): 3.306 3.306 6.276
angles (deg): 90.00 90.00 90.00
Positions (direct):
Sc (0.000, 0.000, 0.000)
Zn (0.500, 0.500, 0.267)
Ag (0.000, 0.000, 0.480)
Ag (0.500, 0.500, 0.735)

The following is a GGA-PBEsol calculation of crystalline SrCaIn2 at its relaxed geometry, from the Alexandria database.

## Properties
Formation energy in kJ/mol of atoms: -44.9
SG: Pmm2
Total moment in Bohr magnetons per cell: 0.0

a b c (Å): 3.940 5.369 5.558
angles (deg): 90.00 90.00 90.00
Positions (direct):
Sr (0.000, 0.000, 0.000)
Ca (0.000, 0.500, 0.441)
In (0.500, 0.000, 0.513)
In (0.500, 0.500, 0.917)

The following is a GGA-PBEsol calculation of crystalline La3RuO at its relaxed geometry, from the Alexandria database.

## Properties
Energy relative to the elements, uncorrected in eV/atom: 0.05
SG: Pm-3m
Total moment in Bohr magnetons per cell: 0.0

a b c (Å): 5.330 5.330 5.330
angles (deg): 90.00 90.00 90.00
Positions (direct):
La (0.000, 0.000, 0.500)
La (0.000, 0.500, 0.000)
La (0.500, 0.000, 0.000)
Ru (0.000, 0.000, 0.000)
O (0.500, 0.500, 0.500)

The following is a GGA-PBEsol calculation of crystalline LaZn2Te at its relaxed geometry, from the Alexandria database.

## Properties
Energy relative to the elements, uncorrected in eV/atom: -0.30
SG: R-3m
Total moment in Bohr magnetons per cell: 0.0

a b c (Å): 5.658 5.658 5.658
angles (deg): 49.00 49.00 49.00
Positions (direct):
La (0.000, 0.000, 0.000)
Zn (0.233, 0.233, 0.233)
Zn (0.767, 0.767, 0.767)
Te (0.500, 0.500, 0.500)

The following is a GGA-PBEsol calculation of crystalline La2MgGeO6 at its relaxed geometry, from the Alexandria database.

## Properties
Energy relative to the elements, uncorrected in eV/atom: -2.91
SG: R-3
Total moment in Bohr magnetons per cell: 0.0

a b c (Å): 5.445 5.445 5.445
angles (deg): 60.82 60.82 60.82
Positions (direct):
La (0.249, 0.249, 0.249)
La (0.751, 0.751, 0.751)
Mg (0.500, 0.500, 0.500)
Ge (0.000, 0.000, 0.000)
O (0.178, 0.763, 0.304)
O (0.237, 0.696, 0.822)
O (0.304, 0.178, 0.763)
O (0.696, 0.822, 0.237)
O (0.763, 0.304, 0.178)
O (0.822, 0.237, 0.696)

The following is a GGA-PBEsol calculation of crystalline AlGeRuC2 at its relaxed geometry, from the Alexandria database.

## Properties
Formation energy in kJ/mol of atoms: 125.2
SG: P4/mmm
Total moment in Bohr magnetons per cell: 0.0

a b c (Å): 3.835 3.835 5.224
angles (deg): 90.00 90.00 90.00
Positions (direct):
Al (0.000, 0.000, 0.000)
Ge (0.500, 0.500, 0.000)
Ru (0.500, 0.500, 0.500)
C (0.000, 0.500, 0.500)
C (0.500, 0.000, 0.500)

The following is a GGA-PBEsol calculation of crystalline MgTlIn2 at its relaxed geometry, from the Alexandria database.

## Properties
Formation energy in kJ/mol of atoms: -3.3
SG: P4mm
Total moment in Bohr magnetons per cell: 0.0

a b c (Å): 3.334 3.334 8.939
angles (deg): 90.00 90.00 90.00
Positions (direct):
Mg (0.000, 0.000, 0.000)
Tl (0.500, 0.500, 0.759)
In (0.000, 0.000, 0.488)
In (0.500, 0.500, 0.230)